The following is a DFT calculation (PBE-GGA) of a relaxed structure of Y6In3Hg.

Calculated values
Spin magnetization ... 0.0 μB per formula unit
Final energy ... -0.3767 Ry per atom

Unit cell a=5.340 b=9.340 c=11.691 alpha=108.01 beta=90.00 gamma=90.00
Atoms (fractional coordinates):
1 Y 0.750 0.900 0.122
2 Y 0.750 0.759 0.500
3 Y 0.250 0.659 0.673
4 Y 0.250 0.843 0.310
5 Y 0.250 0.241 0.500
6 Y 0.750 0.537 0.912
7 Y 0.250 0.463 0.088
8 Y 0.250 0.100 0.878
9 Y 0.750 0.157 0.690
10 Y 0.750 0.341 0.327
11 Y 0.250 0.135 0.167
12 Y 0.750 0.865 0.833
13 In 0.750 0.472 0.618
14 In 0.750 0.222 0.029
15 In 0.750 0.622 0.214
16 In 0.250 0.378 0.786
17 In 0.250 0.778 0.971
18 In 0.250 0.528 0.382
19 Hg 0.250 0.952 0.608
20 Hg 0.750 0.048 0.392